No. 1
A plane-wave DFT calculation with PBE was carried out for an optimized crystal structure of ScMnCl2.

abc: 4.9841 4.9841 6.5368
angles: 105.56 105.56 38.86
Last column: nearest neighbours and their distance in Å.
Fractional coordinates of all 4 atoms:
1 Sc 0.0000 0.0000 0.0000  5 Cl 2.60-2.74, 2 Mn 2.88
2 Mn 0.6020 0.6020 0.3736  1 Cl 2.55
3 Cl 0.2988 0.2988 0.0473  3 Sc 2.60-2.74
4 Cl 0.4912 0.4912 0.6865  1 Mn 2.55, 2 Sc 2.62

Calculated values
Calculated volume: 24.4 A^3/atom
Final energy: -5.594 eV/atom
Uncorrected formation energy: -76.8 kJ/mol of atoms
Energy above the lowest structure with this stoichiometry: 0.47 eV per formula unit

***

No. 2
A plane-wave DFT calculation with PBE was carried out for an optimized crystal structure of Ca2CuSn6.

abc: 4.5569 12.1435 12.1435
angles: 21.21 90.00 90.00
Last column: nearest neighbours and their distance in Å.
Fractional coordinates of all 9 atoms:
1 Ca 0.0000 0.0000 0.0000  10 Sn 3.26-3.41
2 Ca 0.0000 0.3445 0.3445  10 Sn 3.40-3.79, 4 Cu 3.47
3 Cu 0.5000 0.7874 0.7874  5 Sn 2.54-2.67
4 Sn 0.0000 0.6055 0.6055  5 Sn 2.95-3.19
5 Sn 0.0000 0.7290 0.7290  2 Cu 2.67, 1 Sn 2.95
6 Sn 0.5000 0.1039 0.1039  5 Sn 2.94-3.19
7 Sn 0.5000 0.2272 0.2272  2 Cu 2.66, 1 Sn 2.94
8 Sn 0.5000 0.4717 0.4717  2 Sn 2.91
9 Sn 0.5000 0.8937 0.8937  1 Cu 2.54

Calculated values
Calculated volume: 27.0 A^3/atom
Final energy: -3.882 eV/atom
ΔH_f (0 K): -0.313 eV per atom

***

No. 3
A plane-wave DFT calculation with PBE was carried out for an optimized crystal structure of KIrRu.

abc: 6.5219 6.5219 6.5219
angles: 149.09 149.09 44.28
Last column: nearest neighbours and their distance in Å.
Fractional coordinates of all 3 atoms:
1 K 0.0000 0.0000 0.0000  1 Ru 3.15, 1 Ir 3.20, 4 K 3.48
2 Ir 0.2648 0.2648 0.0000  4 Ru 2.48
3 Ru 0.7389 0.7389 0.0000  4 Ir 2.48

Calculated values
Calculated volume: 24.3 A^3/atom
Final energy: -5.617 eV/atom
Energy above the lowest structure with this stoichiometry: 1.06 eV per formula unit
ΔH_f (0 K): 0.794 eV per atom